Entry from Alexandria via LeMat-Bulk: a relaxed LiNiP2 crystal (PBE).

a b c (Å): 3.0394 3.0394 21.2462
angles (deg): 90.00 90.00 120.00
Space group R-3m (No. 166, hexagonal axes)
Asymmetric unit:
Li 0.0000 0.0000 0.0000 (multiplicity 3)
Ni 0.0000 0.0000 0.5000 (multiplicity 3)
P 0.0000 0.0000 0.2378 (multiplicity 6)

Properties
Crystal system: trigonal
Magnetization: 0.00 Bohr magnetons per cell
ΔH_f (0 K): -0.22 eV/atom